1.
## AsHPbBr2 (GGA-PBE)

Data for AsHPbBr2 after structural relaxation.

Lattice parameters (Å, degrees): 5.676 5.676 3.755 90.00 90.00 90.00
Space group P4/mmm (No. 123)
Symmetry-distinct sites (fractional):
As 0.000 0.000 0.000
H 0.000 0.000 0.500
Pb 0.500 0.500 0.000
Br 0.000 0.500 0.500

## Properties
As for the energy above the most stable polymorph in this dataset: 128 meV/atom. As for the density of states at the Fermi level: 3.44 states/eV per cell.



2.
## TaHg4Os (GGA-PBE)

Data for TaHg4Os after structural relaxation.

Lattice parameters (Å, degrees): 7.819 7.819 7.819 90.00 90.00 90.00
Space group F-43m (No. 216)
Symmetry-distinct sites (fractional):
Ta 0.000 0.000 0.000
Hg 0.125 0.125 0.625
Os 0.250 0.250 0.250

## Properties
The calculation puts the energy of formation at 6.701 eV per formula unit. As for the density of states at the Fermi level: 16.67 states/eV per cell.



3.
## Pr6Dy2Hg (GGA-PBE)

Data for Pr6Dy2Hg after structural relaxation.

Lattice parameters (Å, degrees): 17.717 9.690 3.606 90.00 90.21 90.00
Space group C2/m (No. 12)
Symmetry-distinct sites (fractional):
Pr 0.000 0.204 0.000
Pr 0.164 0.327 0.499
Dy 0.178 0.000 0.997
Hg 0.000 0.500 0.500

## Properties
The calculation puts the energy of formation at 0.354 eV per formula unit. As for the energy above the most stable polymorph in this dataset: 134 meV/atom. As for the density of states at the Fermi level: 28.91 states/eV per cell.



4.
## ZnCd4Au7 (GGA-PBE)

Data for ZnCd4Au7 after structural relaxation.

Lattice parameters (Å, degrees): 10.494 5.029 10.488 90.00 117.90 90.00
Space group C2/m (No. 12)
Symmetry-distinct sites (fractional):
Zn 0.000 0.000 0.000
Cd 0.098 0.500 0.772
Cd 0.239 0.000 0.673
Au 0.000 0.500 0.000
Au 0.065 0.000 0.330
Au 0.138 0.500 0.517
Au 0.205 0.000 0.923

## Properties
The calculation puts the energy of formation at -1.248 eV per formula unit. As for the density of states at the Fermi level: 6.60 states/eV per cell.